(1)
# Cd5Cu, optimized geometry, DFT GGA-PBE
data_Cd5Cu
_chemical_formula_sum 'Cd20 Cu4'
_cell_length_a 8.055
_cell_length_b 8.055
_cell_length_c 8.055
_cell_angle_alpha 90.00
_cell_angle_beta 90.00
_cell_angle_gamma 90.00
_symmetry_space_group_name_H-M 'F -4 3 m'
_symmetry_Int_Tables_number 216
_symmetry_space_group_name_Hall 'F -4 2 3'
loop_
_atom_site_label
_atom_site_type_symbol
_atom_site_fract_x
_atom_site_fract_y
_atom_site_fract_z
Cd1 Cd 0.000 0.000 0.000
Cd2 Cd 0.125 0.125 0.375
Cu1 Cu 0.250 0.250 0.750
# Distance to the lowest polymorph of the same formula, eV/atom: 0.2308
# Energy, eV/atom: -1.19
# Density, Mg/m³: 8.0
# Formation energy from the elements, kJ/mol of atoms: 24.7
# Fermi-level density of states, states/eV/atom: 0.21


(2)
# HgPd2Rh, optimized geometry, DFT GGA-PBE
data_HgPd2Rh
_chemical_formula_sum 'Hg3 Pd6 Rh3'
_cell_length_a 2.8067
_cell_length_b 2.8067
_cell_length_c 30.4173
_cell_angle_alpha 90.00
_cell_angle_beta 90.00
_cell_angle_gamma 120.00
_symmetry_space_group_name_H-M 'R -3 m'
_symmetry_Int_Tables_number 166
_symmetry_space_group_name_Hall '-R 3 2"'
loop_
_atom_site_label
_atom_site_type_symbol
_atom_site_fract_x
_atom_site_fract_y
_atom_site_fract_z
Hg1 Hg 0.0000 0.0000 0.0000
Pd1 Pd 0.0000 0.0000 0.4157
Rh1 Rh 0.0000 0.0000 0.5000
# Energy, eV/atom: -4.17
# Density, Mg/m³: 12.4
# Formation energy from the elements, kJ/mol of atoms: 32.9
# Fermi-level density of states, states/eV/atom: 1.36


(3)
# InCS2, optimized geometry, DFT GGA-PBE
data_InCS2
_chemical_formula_sum 'In3 C3 S6'
_cell_length_a 3.7667
_cell_length_b 3.7667
_cell_length_c 24.4893
_cell_angle_alpha 90.00
_cell_angle_beta 90.00
_cell_angle_gamma 120.00
_symmetry_space_group_name_H-M 'R -3 m'
_symmetry_Int_Tables_number 166
_symmetry_space_group_name_Hall '-R 3 2"'
loop_
_atom_site_label
_atom_site_type_symbol
_atom_site_fract_x
_atom_site_fract_y
_atom_site_fract_z
In1 In 0.0000 0.0000 0.0000
C1 C 0.0000 0.0000 0.5000
S1 S 0.0000 0.0000 0.4359
# Formation energy without anion corrections, eV per atom: 0.387
# Distance to the lowest polymorph of the same formula, eV/atom: 0.0000
# Energy, eV/atom: -4.67
# Density, Mg/m³: 3.2
# Fermi-level density of states, states/eV/atom: 0.29